Entry 1:
Density functional theory data (PBE) for a geometry-optimized TmHg structure. Values from VASP.

Structure (Quantum ESPRESSO input):
```
&SYSTEM
  ibrav = 0, nat = 2, ntyp = 2
/
ATOMIC_SPECIES
Tm 168.93 Tm.upf
Hg 200.59 Hg.upf
CELL_PARAMETERS angstrom
0.000 3.310 3.310
3.310 0.000 3.310
3.310 3.310 0.000
ATOMIC_POSITIONS crystal
Tm 0.000 0.000 0.000
Hg 0.250 0.250 0.250
```

Electronic total energy in eV/cell: -4.1
E_form in eV/atom: 0.33

Entry 2:
Density functional theory data (PBE) for a geometry-optimized TmHg3 structure. Values from VASP.

Structure (Quantum ESPRESSO input):
```
&SYSTEM
  ibrav = 0, nat = 8, ntyp = 2
/
ATOMIC_SPECIES
Tm 168.93 Tm.upf
Hg 200.59 Hg.upf
CELL_PARAMETERS angstrom
6.551 0.000 0.000
-3.275 5.673 0.000
0.000 0.000 4.914
ATOMIC_POSITIONS crystal
Tm 0.333 0.667 0.250
Tm 0.667 0.333 0.750
Hg 0.167 0.334 0.750
Hg 0.167 0.833 0.750
Hg 0.334 0.167 0.250
Hg 0.666 0.833 0.750
Hg 0.833 0.167 0.250
Hg 0.833 0.666 0.250
```

Electronic total energy in eV/cell: -13.2
E_form in eV/atom: -0.30